# 1
First-principles (PBE) data for a relaxed La3AuO crystal, as listed in the Alexandria database.

## Properties
The formation energy without anion corrections is -1.390 eV per atom. Its total energy is -59.9 eV per cell. The calculation puts the energy above the most stable polymorph in this dataset at 0.071 eV/atom. Its space group is C2/m.

Cell lengths 6.509, 6.509, 8.885 Å; angles 111.05, 111.05, 46.07 degrees
Atoms (fractional coordinates):
La: 0.109 0.109 0.204
La: 0.150 0.150 0.645
La: 0.362 0.362 0.079
La: 0.638 0.638 0.921
La: 0.850 0.850 0.355
La: 0.891 0.891 0.796
Au: 0.404 0.404 0.579
Au: 0.596 0.596 0.421
O: 0.122 0.122 0.921
O: 0.878 0.878 0.079



# 2
First-principles (PBE) data for a relaxed NiAgTe crystal, as listed in the Alexandria database.

## Properties
The formation energy without anion corrections is 0.184 eV per atom. Its total energy is -22.4 eV per cell. The calculation puts the energy above the most stable polymorph in this dataset at 0.214 eV/atom. Its space group is I4mm.

Cell lengths 3.555, 3.555, 9.187 Å; angles 90.00, 90.00, 90.00 degrees
Atoms (fractional coordinates):
Ni: 0.000 0.000 0.000
Ni: 0.500 0.500 0.500
Ag: 0.000 0.000 0.296
Ag: 0.500 0.500 0.796
Te: 0.000 0.000 0.591
Te: 0.500 0.500 0.091



# 3
First-principles (PBE) data for a relaxed CsScSe2 crystal, as listed in the Alexandria database.

## Properties
The formation energy without anion corrections is -1.537 eV per atom. Its total energy is -40.6 eV per cell. Its space group is P2_1/m.

Cell lengths 3.956, 5.554, 11.135 Å; angles 90.00, 98.88, 90.00 degrees
Atoms (fractional coordinates):
Cs: 0.088 0.250 0.121
Cs: 0.912 0.750 0.879
Sc: 0.204 0.750 0.396
Sc: 0.796 0.250 0.604
Se: 0.221 0.250 0.432
Se: 0.371 0.250 0.776
Se: 0.629 0.750 0.224
Se: 0.779 0.750 0.568



# 4
First-principles (PBE) data for a relaxed EuYSbAu crystal, as listed in the Alexandria database.

## Properties
The formation energy without anion corrections is -0.826 eV per atom. Its total energy is -109.8 eV per cell. Its space group is F-43m.

Cell lengths 7.520, 7.520, 7.520 Å; angles 90.00, 90.00, 90.00 degrees
Atoms (fractional coordinates):
Eu: 0.000 0.000 0.000
Eu: 0.000 0.500 0.500
Eu: 0.500 0.000 0.500
Eu: 0.500 0.500 0.000
Y: 0.000 0.000 0.500
Y: 0.000 0.500 0.000
Y: 0.500 0.000 0.000
Y: 0.500 0.500 0.500
Sb: 0.250 0.250 0.750
Sb: 0.250 0.750 0.250
Sb: 0.750 0.250 0.250
Sb: 0.750 0.750 0.750
Au: 0.250 0.250 0.250
Au: 0.250 0.750 0.750
Au: 0.750 0.250 0.750
Au: 0.750 0.750 0.250



# 5
First-principles (PBE) data for a relaxed CeMg2SnAu4 crystal, as listed in the Alexandria database.

## Properties
Its total energy is -30.3 eV per cell. As for the calculated formation energy: -0.514 eV per atom. Its space group is R-3m.

Cell lengths 9.826, 9.826, 9.826 Å; angles 27.04, 27.04, 27.04 degrees
Atoms (fractional coordinates):
Ce: 0.000 0.000 0.000
Mg: 0.243 0.243 0.243
Mg: 0.757 0.757 0.757
Sn: 0.500 0.500 0.500
Au: 0.118 0.118 0.118
Au: 0.390 0.390 0.390
Au: 0.610 0.610 0.610
Au: 0.882 0.882 0.882



# 6
First-principles (PBE) data for a relaxed HfTi3Sb crystal, as listed in the Alexandria database.

## Properties
The formation energy without anion corrections is 0.991 eV per atom. Its total energy is -32.8 eV per cell. The calculation puts the energy above the most stable polymorph in this dataset at 1.177 eV/atom. Its space group is Pm-3m.

Cell lengths 4.852, 4.852, 4.852 Å; angles 90.00, 90.00, 90.00 degrees
Atoms (fractional coordinates):
Hf: 0.000 0.000 0.000
Ti: 0.000 0.000 0.500
Ti: 0.000 0.500 0.000
Ti: 0.500 0.000 0.000
Sb: 0.500 0.500 0.500



# 7
First-principles (PBE) data for a relaxed In2NiGeBr crystal, as listed in the Alexandria database.

## Properties
The formation energy without anion corrections is -0.224 eV per atom. Its total energy is -18.7 eV per cell. Its space group is P4/mmm.

Cell lengths 5.184, 5.184, 4.487 Å; angles 90.00, 90.00, 90.00 degrees
Atoms (fractional coordinates):
In: 0.000 0.500 0.000
In: 0.500 0.000 0.000
Ni: 0.000 0.000 0.000
Ge: 0.000 0.000 0.500
Br: 0.500 0.500 0.500



# 8
First-principles (PBE) data for a relaxed Tb2Pm5DyTm crystal, as listed in the Alexandria database.

## Properties
Its total energy is -81.6 eV per cell. As for the calculated formation energy: 0.143 eV per atom. Its space group is Cmc2_1.

Cell lengths 10.506, 10.506, 10.656 Å; angles 90.00, 90.00, 148.84 degrees
Atoms (fractional coordinates):
Tb: 0.113 0.887 0.500
Tb: 0.115 0.885 0.076
Tb: 0.885 0.115 0.576
Tb: 0.887 0.113 0.000
Pm: 0.017 0.983 0.781
Pm: 0.280 0.720 0.076
Pm: 0.298 0.702 0.470
Pm: 0.384 0.616 0.784
Pm: 0.482 0.518 0.506
Pm: 0.518 0.482 0.006
Pm: 0.616 0.384 0.284
Pm: 0.702 0.298 0.970
Pm: 0.720 0.280 0.576
Pm: 0.983 0.017 0.281
Dy: 0.409 0.591 0.224
Dy: 0.591 0.409 0.724
Tm: 0.199 0.801 0.774
Tm: 0.801 0.199 0.274



# 9
First-principles (PBE) data for a relaxed NaGa2PAu crystal, as listed in the Alexandria database.

## Properties
Its total energy is -14.8 eV per cell. As for the calculated formation energy: 0.259 eV per atom. Its space group is P4/mmm.

Cell lengths 5.023, 5.023, 5.124 Å; angles 90.00, 90.00, 90.00 degrees
Atoms (fractional coordinates):
Na: 0.000 0.000 0.000
Ga: 0.000 0.500 0.500
Ga: 0.500 0.000 0.500
P: 0.500 0.500 0.000
Au: 0.500 0.500 0.500



# 10
First-principles (PBE) data for a relaxed AcTb2Nd7 crystal, as listed in the Alexandria database.

## Properties
Its total energy is -46.0 eV per cell. The calculation puts the energy above the most stable polymorph in this dataset at 0.000 eV/atom. As for the calculated formation energy: 0.074 eV per atom. Its space group is P-1.

Cell lengths 6.709, 6.815, 8.599 Å; angles 73.31, 72.11, 83.51 degrees
Atoms (fractional coordinates):
Ac: 0.000 0.000 0.000
Tb: 0.436 0.144 0.634
Tb: 0.564 0.856 0.366
Nd: 0.000 0.000 0.500
Nd: 0.204 0.590 0.768
Nd: 0.227 0.536 0.344
Nd: 0.426 0.239 0.060
Nd: 0.574 0.761 0.940
Nd: 0.773 0.464 0.656
Nd: 0.796 0.410 0.232



# 11
First-principles (PBE) data for a relaxed Pr3Dy6Th crystal, as listed in the Alexandria database.

## Properties
Its total energy is -47.1 eV per cell. The calculation puts the energy above the most stable polymorph in this dataset at 0.000 eV/atom. As for the calculated formation energy: 0.228 eV per atom. Its space group is C2/m.

Cell lengths 6.649, 6.649, 9.663 Å; angles 111.05, 111.05, 59.81 degrees
Atoms (fractional coordinates):
Pr: 0.000 0.000 0.000
Pr: 0.070 0.070 0.690
Pr: 0.930 0.930 0.310
Dy: 0.067 0.562 0.685
Dy: 0.365 0.365 0.083
Dy: 0.438 0.933 0.315
Dy: 0.562 0.067 0.685
Dy: 0.635 0.635 0.917
Dy: 0.933 0.438 0.315
Th: 0.500 0.500 0.500



# 12
First-principles (PBE) data for a relaxed GaFeReH crystal, as listed in the Alexandria database.

## Properties
Its total energy is -54.0 eV per cell. The calculation puts the energy above the most stable polymorph in this dataset at 0.031 eV/atom. Its space group is Cm.

Cell lengths 4.825, 2.793, 6.559 Å; angles 90.00, 104.63, 90.00 degrees
Atoms (fractional coordinates):
Ga: 0.000 0.000 0.000
Ga: 0.500 0.500 0.000
Fe: 0.230 0.000 0.683
Fe: 0.730 0.500 0.683
Re: 0.283 0.500 0.355
Re: 0.783 0.000 0.355
H: 0.022 0.500 0.563
H: 0.522 0.000 0.563



> total energy of number 8 (Tb2Pm5DyTm)?

-81.6 eV per cell



What did the second record say?
First-principles (PBE) data for a relaxed NiAgTe crystal, as listed in the Alexandria database.

## Properties
The formation energy without anion corrections is 0.184 eV per atom. Its total energy is -22.4 eV per cell. The calculation puts the energy above the most stable polymorph in this dataset at 0.214 eV/atom. Its space group is I4mm.

Cell lengths 3.555, 3.555, 9.187 Å; angles 90.00, 90.00, 90.00 degrees
Atoms (fractional coordinates):
Ni: 0.000 0.000 0.000
Ni: 0.500 0.500 0.500
Ag: 0.000 0.000 0.296
Ag: 0.500 0.500 0.796
Te: 0.000 0.000 0.591
Te: 0.500 0.500 0.091



> The lowest total energy belongs to which entry?

EuYSbAu



> What is the total energy in the ninth record?

-14.8 eV per cell